1.
Entry from Alexandria via LeMat-Bulk: a geometry-optimized Na3CdF4 structure (PBE-GGA).

The structure in CIF format:
```
data_Na3CdF4
_space_group_name_H-M_alt 'I 4/m m m'
_space_group_IT_number 139
_space_group_name_Hall '-I 4 2'
_cell_length_a 4.878
_cell_length_b 4.878
_cell_length_c 9.855
_cell_angle_alpha 90.00
_cell_angle_beta 90.00
_cell_angle_gamma 90.00
loop_
_atom_site_label
_atom_site_type_symbol
_atom_site_fract_x
_atom_site_fract_y
_atom_site_fract_z
Na1 Na 0.000 0.000 0.000
Na2 Na 0.000 0.500 0.250
Cd1 Cd 0.000 0.000 0.500
F1 F 0.000 0.000 0.235
F2 F 0.000 0.500 0.000
```

## Properties
Total DFT energy (no corrections)   -3.85 eV/atom
Uncorrected formation energy   -2.31 eV/atom
Spin magnetization   0.000 μB/atom
Fermi-level density of states   2.6 states/eV/cell
Calculated volume   14.653 Å³/atom

2.
Entry from Alexandria via LeMat-Bulk: a geometry-optimized PaMnCd structure (PBE-GGA).

The structure in CIF format:
```
data_PaMnCd
_space_group_name_H-M_alt 'C 1 2/m 1'
_space_group_IT_number 12
_space_group_name_Hall '-C 2y'
_cell_length_a 9.527
_cell_length_b 3.100
_cell_length_c 8.281
_cell_angle_alpha 90.00
_cell_angle_beta 92.82
_cell_angle_gamma 90.00
loop_
_atom_site_label
_atom_site_type_symbol
_atom_site_fract_x
_atom_site_fract_y
_atom_site_fract_z
Pa1 Pa 0.079 0.000 0.191
Mn1 Mn 0.142 0.500 0.956
Cd1 Cd 0.139 0.500 0.580
```

## Properties
Total DFT energy (no corrections)   -6.35 eV/atom
Spin magnetization   0.000 μB/atom
Fermi-level density of states   14.6 states/eV/cell
Calculated volume   20.355 Å³/atom

3.
Entry from Alexandria via LeMat-Bulk: a geometry-optimized LiLaTe2 structure (PBE-GGA).

The structure in CIF format:
```
data_LiLaTe2
_space_group_name_H-M_alt 'C m m m'
_space_group_IT_number 65
_space_group_name_Hall '-C 2 2'
_cell_length_a 4.975
_cell_length_b 6.160
_cell_length_c 7.907
_cell_angle_alpha 90.00
_cell_angle_beta 90.00
_cell_angle_gamma 90.00
loop_
_atom_site_label
_atom_site_type_symbol
_atom_site_fract_x
_atom_site_fract_y
_atom_site_fract_z
Li1 Li 0.000 0.000 0.000
La1 La 0.000 0.000 0.500
Te1 Te 0.000 0.500 0.247
```

## Properties
Total DFT energy (no corrections)   -4.43 eV/atom
Uncorrected formation energy   -1.15 eV/atom
Spin magnetization   0.000 μB/atom
Fermi-level density of states   1.6 states/eV/cell
Calculated volume   30.291 Å³/atom

4.
Entry from Alexandria via LeMat-Bulk: a geometry-optimized In3WSe structure (PBE-GGA).

The structure in CIF format:
```
data_In3WSe
_space_group_name_H-M_alt 'P m -3 m'
_space_group_IT_number 221
_space_group_name_Hall '-P 4 2 3'
_cell_length_a 5.380
_cell_length_b 5.380
_cell_length_c 5.380
_cell_angle_alpha 90.00
_cell_angle_beta 90.00
_cell_angle_gamma 90.00
loop_
_atom_site_label
_atom_site_type_symbol
_atom_site_fract_x
_atom_site_fract_y
_atom_site_fract_z
In1 In 0.000 0.000 0.500
W1 W 0.000 0.000 0.000
Se1 Se 0.500 0.500 0.500
```

## Properties
Total DFT energy (no corrections)   -4.10 eV/atom
Uncorrected formation energy   0.83 eV/atom
Spin magnetization   0.626 μB/atom
ΔE to the lowest computed polymorph   0 meV per atom
Fermi-level density of states   3.4 states/eV/cell
Calculated volume   31.147 Å³/atom

5.
Entry from Alexandria via LeMat-Bulk: a geometry-optimized Zn4GaPd structure (PBE-GGA).

The structure in CIF format:
```
data_Zn4GaPd
_space_group_name_H-M_alt 'C 1 2/m 1'
_space_group_IT_number 12
_space_group_name_Hall '-C 2y'
_cell_length_a 8.918
_cell_length_b 8.947
_cell_length_c 6.665
_cell_angle_alpha 90.00
_cell_angle_beta 131.72
_cell_angle_gamma 90.00
loop_
_atom_site_label
_atom_site_type_symbol
_atom_site_fract_x
_atom_site_fract_y
_atom_site_fract_z
Zn1 Zn 0.013 0.000 0.227
Zn2 Zn 0.138 0.351 0.775
Zn3 Zn 0.212 0.500 0.224
Ga1 Ga 0.250 0.250 0.500
Pd1 Pd 0.000 0.250 0.000
```

## Properties
Total DFT energy (no corrections)   -2.39 eV/atom
Spin magnetization   0.000 μB/atom
ΔE to the lowest computed polymorph   0 meV per atom
Fermi-level density of states   4.9 states/eV/cell
Calculated volume   16.539 Å³/atom

6.
Entry from Alexandria via LeMat-Bulk: a geometry-optimized LaRu2Au structure (PBE-GGA).

The structure in CIF format:
```
data_LaRu2Au
_space_group_name_H-M_alt 'C 1 m 1'
_space_group_IT_number 8
_space_group_name_Hall 'C -2y'
_cell_length_a 10.674
_cell_length_b 3.153
_cell_length_c 4.913
_cell_angle_alpha 90.00
_cell_angle_beta 114.88
_cell_angle_gamma 90.00
loop_
_atom_site_label
_atom_site_type_symbol
_atom_site_fract_x
_atom_site_fract_y
_atom_site_fract_z
La1 La 0.000 0.000 0.000
Ru1 Ru 0.021 0.500 0.501
Ru2 Ru 0.233 0.000 0.847
Au1 Au 0.272 0.500 0.373
```

## Properties
Total DFT energy (no corrections)   -6.54 eV/atom
Spin magnetization   0.014 μB/atom
ΔE to the lowest computed polymorph   62 meV per atom
Fermi-level density of states   11.9 states/eV/cell
Calculated volume   18.750 Å³/atom

7.
Entry from Alexandria via LeMat-Bulk: a geometry-optimized SrMg2Bi2 structure (PBE-GGA).

The structure in CIF format:
```
data_SrMg2Bi2
_space_group_name_H-M_alt 'C 1 2/m 1'
_space_group_IT_number 12
_space_group_name_Hall '-C 2y'
_cell_length_a 7.097
_cell_length_b 6.228
_cell_length_c 7.640
_cell_angle_alpha 90.00
_cell_angle_beta 105.52
_cell_angle_gamma 90.00
loop_
_atom_site_label
_atom_site_type_symbol
_atom_site_fract_x
_atom_site_fract_y
_atom_site_fract_z
Sr1 Sr 0.000 0.000 0.000
Mg1 Mg 0.000 0.244 0.500
Bi1 Bi 0.167 0.500 0.248
```

## Properties
Total DFT energy (no corrections)   -3.05 eV/atom
Spin magnetization   0.000 μB/atom
Fermi-level density of states   0.4 states/eV/cell
Calculated volume   32.537 Å³/atom

8.
Entry from Alexandria via LeMat-Bulk: a geometry-optimized LiEr4Tl5 structure (PBE-GGA).

The structure in CIF format:
```
data_LiEr4Tl5
_space_group_name_H-M_alt 'P 4/m m m'
_space_group_IT_number 123
_space_group_name_Hall '-P 4 2'
_cell_length_a 3.577
_cell_length_b 3.577
_cell_length_c 19.971
_cell_angle_alpha 90.00
_cell_angle_beta 90.00
_cell_angle_gamma 90.00
loop_
_atom_site_label
_atom_site_type_symbol
_atom_site_fract_x
_atom_site_fract_y
_atom_site_fract_z
Li1 Li 0.000 0.000 0.000
Er1 Er 0.000 0.000 0.185
Er2 Er 0.000 0.000 0.395
Tl1 Tl 0.500 0.500 0.082
Tl2 Tl 0.500 0.500 0.290
Tl3 Tl 0.500 0.500 0.500
```

## Properties
Total DFT energy (no corrections)   -3.51 eV/atom
Spin magnetization   0.008 μB/atom
Fermi-level density of states   5.1 states/eV/cell
Calculated volume   25.552 Å³/atom

9.
Entry from Alexandria via LeMat-Bulk: a geometry-optimized Sr2CdHgN structure (PBE-GGA).

The structure in CIF format:
```
data_Sr2CdHgN
_space_group_name_H-M_alt 'P 4/m m m'
_space_group_IT_number 123
_space_group_name_Hall '-P 4 2'
_cell_length_a 5.314
_cell_length_b 5.314
_cell_length_c 4.575
_cell_angle_alpha 90.00
_cell_angle_beta 90.00
_cell_angle_gamma 90.00
loop_
_atom_site_label
_atom_site_type_symbol
_atom_site_fract_x
_atom_site_fract_y
_atom_site_fract_z
Sr1 Sr 0.000 0.500 0.000
Cd1 Cd 0.000 0.000 0.500
Hg1 Hg 0.500 0.500 0.500
N1 N 0.000 0.000 0.000
```

## Properties
Total DFT energy (no corrections)   -2.92 eV/atom
Uncorrected formation energy   -0.34 eV/atom
Spin magnetization   0.000 μB/atom
Fermi-level density of states   2.1 states/eV/cell
Calculated volume   25.837 Å³/atom

10.
Entry from Alexandria via LeMat-Bulk: a geometry-optimized Th7Sn5Sb structure (PBE-GGA).

The structure in CIF format:
```
data_Th7Sn5Sb
_space_group_name_H-M_alt 'I m m 2'
_space_group_IT_number 44
_space_group_name_Hall 'I 2 -2'
_cell_length_a 6.344
_cell_length_b 11.409
_cell_length_c 11.007
_cell_angle_alpha 90.00
_cell_angle_beta 90.00
_cell_angle_gamma 90.00
loop_
_atom_site_label
_atom_site_type_symbol
_atom_site_fract_x
_atom_site_fract_y
_atom_site_fract_z
Th1 Th 0.000 0.000 0.000
Th2 Th 0.000 0.000 0.390
Th3 Th 0.000 0.328 0.631
Th4 Th 0.000 0.338 0.121
Th5 Th 0.000 0.500 0.372
Sn1 Sn 0.000 0.500 0.872
Sn2 Sn 0.248 0.244 0.881
Sb1 Sb 0.000 0.000 0.679
```

## Properties
Total DFT energy (no corrections)   -6.20 eV/atom
Uncorrected formation energy   -0.35 eV/atom
Spin magnetization   0.000 μB/atom
Fermi-level density of states   24.0 states/eV/cell
Calculated volume   30.644 Å³/atom

> Look up the total DFT energy (no corrections) of the eighth one.

-3.51 eV/atom